# MnBeCl2

An optimized crystal structure of MnBeCl2 (PBE, the Alexandria database).

Cell: 4.7331 4.7331 4.7331 Å, 60.00 60.00 60.00°
Closest atoms and distances in Å follow each position.
Fractional coordinates of all 4 atoms:
Be 0.5000 0.5000 0.5000  4 Mn 2.90, 4 Cl 2.90
Mn 0.7500 0.7500 0.7500  4 Be 2.90, 4 Cl 2.90
Cl 0.0000 0.0000 0.0000  4 Cl 2.90, 4 Mn 2.90
Cl 0.2500 0.2500 0.2500  4 Cl 2.90, 4 Be 2.90

Results
**Size of the total moment**: 4.6 μB/f.u.
**Raw formation energy**: 0.63 eV/atom
**E above lowest polymorph**: 106.6 kJ per mole of atoms